# HfBr4, relaxed, DFT PBE-GGA
data_HfBr4
_chemical_formula_sum 'Hf4 Br16'
_cell_length_a 8.0211
_cell_length_b 16.9134
_cell_length_c 6.6264
_cell_angle_alpha 90.00
_cell_angle_beta 119.91
_cell_angle_gamma 90.00
_space_group_name_H-M_alt 'C 1 2/c 1'
_space_group_IT_number 15
loop_
_space_group_symop_operation_xyz
'x,y,z'
'-x,-y,-z'
'-x,y,-z+1/2'
'x,-y,z+1/2'
'x+1/2,y+1/2,z'
'-x+1/2,-y+1/2,-z'
'-x+1/2,y+1/2,-z+1/2'
'x+1/2,-y+1/2,z+1/2'
loop_
_atom_site_label
_atom_site_type_symbol
_atom_site_fract_x
_atom_site_fract_y
_atom_site_fract_z
Hf1 Hf 0.0000 0.0748 0.2500
Br1 Br 0.2114 0.0505 0.7043
Br2 Br 0.2336 0.1700 0.2484
# crystal system: monoclinic
# ΔE_f (raw): -1396 meV per atom
# calculated total energy: -4.72 eV/atom